# Ca6Bi5Pb, relaxed, DFT PBE
data_Ca6Bi5Pb
_cell_length_a 5.712
_cell_length_b 7.761
_cell_length_c 8.578
_cell_angle_alpha 90.00
_cell_angle_beta 99.63
_cell_angle_gamma 90.00
_space_group_name_H-M_alt 'P 1'
_space_group_IT_number 1
loop_
_space_group_symop_operation_xyz
'x,y,z'
loop_
_atom_site_label
_atom_site_type_symbol
_atom_site_fract_x
_atom_site_fract_y
_atom_site_fract_z
Ca1 Ca 0.500 0.253 0.000
Ca2 Ca 0.500 0.747 0.000
Ca3 Ca 0.187 0.249 0.342
Ca4 Ca 0.813 0.249 0.658
Ca5 Ca 0.813 0.751 0.658
Ca6 Ca 0.187 0.751 0.342
Bi1 Bi 0.690 0.000 0.317
Bi2 Bi 0.000 0.500 0.000
Bi3 Bi 0.320 0.500 0.673
Bi4 Bi 0.680 0.500 0.327
Bi5 Bi 0.310 0.000 0.683
Pb1 Pb 0.000 0.000 0.000
# formation energy from the elements = -0.69 eV per atom
# total magnetic moment = 0.0 μB/f.u.
# E_tot = -43.45 eV for the cell shown

# Ca3Bi4Pb3, relaxed, DFT PBE
data_Ca3Bi4Pb3
_cell_length_a 4.525
_cell_length_b 8.563
_cell_length_c 8.563
_cell_angle_alpha 90.72
_cell_angle_beta 90.00
_cell_angle_gamma 90.00
_space_group_name_H-M_alt 'P 1'
_space_group_IT_number 1
loop_
_space_group_symop_operation_xyz
'x,y,z'
loop_
_atom_site_label
_atom_site_type_symbol
_atom_site_fract_x
_atom_site_fract_y
_atom_site_fract_z
Ca1 Ca 0.500 0.836 0.164
Ca2 Ca 0.500 0.674 0.658
Ca3 Ca 0.500 0.342 0.326
Bi1 Bi 0.000 0.373 0.627
Bi2 Bi 0.000 0.640 0.360
Bi3 Bi 0.000 0.125 0.149
Bi4 Bi 0.000 0.851 0.875
Pb1 Pb 0.000 0.493 0.000
Pb2 Pb 0.000 0.000 0.507
Pb3 Pb 0.500 0.167 0.833
# formation energy from the elements = -0.38 eV per atom
# total magnetic moment = 0.0 μB/f.u.
# E_tot = -36.48 eV for the cell shown

# CaBiPb3, relaxed, DFT PBE
data_CaBiPb3
_cell_length_a 6.016
_cell_length_b 6.016
_cell_length_c 6.016
_cell_angle_alpha 90.00
_cell_angle_beta 90.00
_cell_angle_gamma 90.00
_space_group_name_H-M_alt 'P 1'
_space_group_IT_number 1
loop_
_space_group_symop_operation_xyz
'x,y,z'
loop_
_atom_site_label
_atom_site_type_symbol
_atom_site_fract_x
_atom_site_fract_y
_atom_site_fract_z
Bi1 Bi 0.000 0.000 0.000
Pb1 Pb 0.000 0.000 0.500
Pb2 Pb 0.500 0.000 0.000
Pb3 Pb 0.000 0.500 0.000
Ca1 Ca 0.500 0.500 0.500
# formation energy from the elements = 0.40 eV per atom
# total magnetic moment = 0.0 μB/f.u.
# E_tot = -15.03 eV for the cell shown

# Ca6Bi7Pb4, relaxed, DFT PBE
data_Ca6Bi7Pb4
_cell_length_a 8.963
_cell_length_b 8.963
_cell_length_c 8.963
_cell_angle_alpha 109.47
_cell_angle_beta 109.47
_cell_angle_gamma 109.47
_space_group_name_H-M_alt 'P 1'
_space_group_IT_number 1
loop_
_space_group_symop_operation_xyz
'x,y,z'
loop_
_atom_site_label
_atom_site_type_symbol
_atom_site_fract_x
_atom_site_fract_y
_atom_site_fract_z
Ca1 Ca 0.705 0.000 0.705
Ca2 Ca 0.000 0.705 0.705
Ca3 Ca 0.000 0.295 0.295
Ca4 Ca 0.705 0.705 0.000
Ca5 Ca 0.295 0.000 0.295
Ca6 Ca 0.295 0.295 0.000
Pb1 Pb 0.500 0.500 0.500
Pb2 Pb 0.500 0.000 0.000
Pb3 Pb 0.000 0.500 0.000
Pb4 Pb 0.000 0.000 0.500
Bi1 Bi 0.500 0.750 0.250
Bi2 Bi 0.250 0.500 0.750
Bi3 Bi 0.500 0.250 0.750
Bi4 Bi 0.250 0.750 0.500
Bi5 Bi 0.750 0.250 0.500
Bi6 Bi 0.000 0.000 0.000
Bi7 Bi 0.750 0.500 0.250
# formation energy from the elements = -0.35 eV per atom
# total magnetic moment = 0.0 μB/f.u.
# E_tot = -59.93 eV for the cell shown